(one)
Material: La2CdP
Method: DFT, PBE
State: optimized geometry

Properties
Crystal system: tetragonal
Symmetry: No. 122

a b c (Å): 6.9122 6.9122 6.9122
angles (deg): 107.59 107.59 113.29
Positions (direct):
La 0.0872 0.1250 0.4622
La 0.3750 0.9128 0.0378
La 0.6628 0.6250 0.5378
La 0.8750 0.3372 0.9622
Cd 0.2500 0.7500 0.5000
Cd 0.5000 0.5000 0.0000
P 0.0000 0.0000 0.0000
P 0.7500 0.2500 0.5000


(two)
Material: La2CdP
Method: DFT, PBE
State: optimized geometry

Properties
Crystal system: cubic
Symmetry: No. 225

a b c (Å): 5.3151 5.3151 5.3151
angles (deg): 60.00 60.00 60.00
Positions (direct):
La 0.2500 0.2500 0.2500
La 0.7500 0.7500 0.7500
Cd 0.0000 0.0000 0.0000
P 0.5000 0.5000 0.5000


(three)
Material: La2CdP
Method: DFT, PBE
State: optimized geometry

Properties
Crystal system: cubic
Symmetry: No. 216

a b c (Å): 5.2581 5.2581 5.2581
angles (deg): 60.00 60.00 60.00
Positions (direct):
La 0.0000 0.0000 0.0000
La 0.2500 0.2500 0.2500
Cd 0.7500 0.7500 0.7500
P 0.5000 0.5000 0.5000


(four)
Material: La2CdP
Method: DFT, PBE
State: optimized geometry

Properties
Crystal system: trigonal
Symmetry: No. 166

a b c (Å): 8.4743 8.4743 8.4743
angles (deg): 28.71 28.71 28.71
Positions (direct):
La 0.2347 0.2347 0.2347
La 0.7653 0.7653 0.7653
Cd 0.0000 0.0000 0.0000
P 0.5000 0.5000 0.5000


Of them, (three) has the lowest stability.


(one)
Material: La2CdP
Method: DFT, PBE
State: optimized geometry

Properties
Crystal system: orthorhombic
Symmetry: No. 38

a b c (Å): 4.2554 6.2713 6.2713
angles (deg): 41.82 90.00 90.00
Positions (direct):
La 0.0000 0.0000 0.0000
La 0.5000 0.2916 0.2916
Cd 0.0000 0.7114 0.7114
P 0.5000 0.5493 0.5493


(two)
Material: La2CdP
Method: DFT, PBE
State: optimized geometry

Properties
Crystal system: tetragonal
Symmetry: No. 99

a b c (Å): 4.4305 4.4305 6.2806
angles (deg): 90.00 90.00 90.00
Positions (direct):
La 0.0000 0.0000 0.0000
La 0.5000 0.5000 0.4991
Cd 0.0000 0.0000 0.5004
P 0.5000 0.5000 0.9998


Of them, (two) has the lowest stability.